This record from Alexandria describes crystalline PmDy2Co at its relaxed geometry. The functional is PBE-GGA.

Structure (extended XYZ):
```
16
Lattice="6.3333 0.0000 0.0000 0.0000 6.9620 0.0000 0.0000 0.0000 9.4989" Properties=species:S:1:pos:R:3 pbc="T T T"
Dy 5.2160 2.2862 5.4030
Dy 1.1173 4.6757 4.0959
Dy 5.2160 2.2862 8.8453
Dy 1.1173 4.6757 0.6536
Dy 4.2840 5.7672 5.4030
Dy 2.0494 1.1948 4.0959
Dy 2.0494 1.1948 0.6536
Dy 4.2840 5.7672 8.8453
Co 3.5384 0.7903 7.1242
Co 5.9617 4.2713 7.1242
Co 0.3717 2.6907 2.3747
Co 2.7950 6.1717 2.3747
Pm 0.8867 6.6579 7.1242
Pm 5.4467 0.3041 2.3747
Pm 2.2800 3.1769 7.1242
Pm 4.0533 3.7851 2.3747
```

Calculated density ... 8.39 g/cm³
Calculated formation energy ... -0.137 eV per atom
Calculated total energy ... -5.402 eV per atom
Symmetry ... Pnma
Size of the total moment ... 0.00 μB/atom
E above lowest polymorph ... 0.000 kcal/mol of atoms